Computed, not measured: Nd2GaCu2Pd5 after structural relaxation at the PBE level of DFT.

The space group is P4/mbm (No. 127) and the conventional cell measures 9.605, 9.605 and 3.852 Å, with angles of 90.00, 90.00 and 90.00 degrees. The inequivalent atoms are Nd at (0.176, 0.324, 0.000), Ga at (0.000, 0.000, 0.000), Cu at (0.123, 0.623, 0.000), Pd at (0.000, 0.500, 0.500) and Pd at (0.064, 0.798, 0.500).

The total energy is -5.2882 eV/atom. The formation energy comes out at -0.62 eV/atom.

---

Computed, not measured: Nd2Ga3Cu12Pd after structural relaxation at the PBE level of DFT.

The space group is R-3m (No. 166, hexagonal axes) and the conventional cell measures 5.4146, 5.4146 and 34.6106 Å, with angles of 90.00, 90.00 and 120.00 degrees. The inequivalent atoms are Nd at (0.0000, 0.0000, 0.1419), Ga at (0.0000, 0.5000, 0.0000), Cu at (0.0036, 0.5018, 0.1068), Cu at (0.0273, 0.5136, 0.6122) and Pd at (0.0000, 0.0000, 0.5000).

The total energy is -4.0184 eV/atom. The formation energy comes out at 0.04 eV/atom.

---

Computed, not measured: Nd2Ga4CuPd3 after structural relaxation at the PBE level of DFT.

The space group is P-4m2 (No. 115) and the conventional cell measures 4.410, 4.410 and 9.920 Å, with angles of 90.00, 90.00 and 90.00 degrees. The inequivalent atoms are Nd at (0.000, 0.500, 0.248), Ga at (0.000, 0.000, 0.500), Ga at (0.000, 0.500, 0.879), Ga at (0.500, 0.500, 0.500), Cu at (0.500, 0.500, 0.000), Pd at (0.000, 0.000, 0.000) and Pd at (0.000, 0.500, 0.630).

The total energy is -4.8404 eV/atom. The formation energy comes out at -0.71 eV/atom.

---

Computed, not measured: Nd2Ga4Cu3Pd after structural relaxation at the PBE level of DFT.

The space group is P-4m2 (No. 115) and the conventional cell measures 4.241, 4.241 and 10.246 Å, with angles of 90.00, 90.00 and 90.00 degrees. The inequivalent atoms are Nd at (0.000, 0.500, 0.247), Ga at (0.000, 0.000, 0.000), Ga at (0.000, 0.500, 0.633), Ga at (0.500, 0.500, 0.000), Cu at (0.000, 0.500, 0.870), Cu at (0.500, 0.500, 0.500) and Pd at (0.000, 0.000, 0.500).

The total energy is -4.4386 eV/atom. The formation energy comes out at -0.53 eV/atom.